The following is a PBE-GGA calculation of a relaxed structure of Pu3H2N, from Alexandria via LeMat-Bulk.

Output
total magnetization	0.934	μB per atom
crystal system	orthorhombic
electronic total energy	-121.58	eV for the cell shown

Cell and atoms, written as CIF:
```
data_Pu3H2N
_cell_length_a 3.302
_cell_length_b 5.002
_cell_length_c 10.838
_cell_angle_alpha 90.00
_cell_angle_beta 90.00
_cell_angle_gamma 90.00
_space_group_name_H-M_alt 'I m m m'
_space_group_IT_number 71
_space_group_name_Hall '-I 2 2'
loop_
_atom_site_label
_atom_site_type_symbol
_atom_site_fract_x
_atom_site_fract_y
_atom_site_fract_z
_atom_site_occupancy
Pu1 Pu 0.000 0.000 0.000 1
Pu2 Pu 0.000 0.000 0.342 1
H1 H 0.000 0.500 0.335 1
N1 N 0.000 0.500 0.000 1
```

The following is a PBE-GGA calculation of a relaxed structure of Pu3HN2, from Alexandria via LeMat-Bulk.

Output
total magnetization	2.834	μB per atom
crystal system	orthorhombic
electronic total energy	-269.82	eV for the cell shown

Cell and atoms, written as CIF:
```
data_Pu3HN2
_cell_length_a 3.424
_cell_length_b 11.684
_cell_length_c 10.080
_cell_angle_alpha 90.00
_cell_angle_beta 90.00
_cell_angle_gamma 90.00
_space_group_name_H-M_alt 'C m c m'
_space_group_IT_number 63
_space_group_name_Hall '-C 2c 2'
loop_
_atom_site_label
_atom_site_type_symbol
_atom_site_fract_x
_atom_site_fract_y
_atom_site_fract_z
_atom_site_occupancy
Pu1 Pu 0.000 0.094 0.250 1
Pu2 Pu 0.000 0.370 0.069 1
H1 H 0.000 0.241 0.750 1
N1 N 0.000 0.000 0.000 1
N2 N 0.000 0.471 0.250 1
```